Entry 1:
The following is a DFT calculation (GGA-PBE) of a geometry-optimized Re3HgBi structure.

Summary:
Calculated formation energy ... 3.111 eV/atom
E above lowest polymorph ... 139 meV per atom
DOS(E_F) ... 6.56 states/eV/f.u.

abc: 5.007 5.007 5.007
angles: 90.00 90.00 90.00
Last column: magnetic moment on the atom in μB.
Fractional positions:
Bi 0.000 0.000 0.000  -0.01
Re 0.000 0.500 0.000  1.00
Re 0.500 0.000 0.000  0.87
Re 0.000 0.000 0.500  1.15
Hg 0.500 0.500 0.500  -0.02

Entry 2:
The following is a DFT calculation (GGA-PBE) of a geometry-optimized ZrAlMo structure.

Summary:
Calculated formation energy ... -0.349 eV/atom
E above lowest polymorph ... 0 meV per atom
DOS(E_F) ... 2.80 states/eV/f.u.

abc: 5.321 5.321 8.847
angles: 90.00 90.00 120.24
Fractional positions:
Mo 0.656 0.832 0.500
Mo 0.833 0.167 0.000
Mo 0.168 0.344 0.500
Mo 0.167 0.833 0.500
Zr 0.669 0.331 0.686
Zr 0.335 0.665 0.814
Zr 0.335 0.665 0.186
Zr 0.669 0.331 0.314
Al 0.833 0.658 0.000
Al 0.342 0.167 0.000
Al 0.996 0.004 0.751
Al 0.996 0.004 0.249

Q: Among the records above, which one has the lowest E above lowest polymorph?
A: ZrAlMo

Q: The lowest calculated formation energy belongs to which entry?
A: ZrAlMo